1.
The following is a DFT calculation (PBE-GGA) of a relaxed NaYHgCl6 crystal.

Cell lengths 6.8579, 6.8579, 12.6806 Å; angles 90.00, 90.00, 120.00 degrees
Atoms (fractional coordinates):
1 Na 0.0000 0.0000 0.0000
2 Na 0.0000 0.0000 0.5000
3 Y 0.3333 0.6667 0.2500
4 Y 0.6667 0.3333 0.7500
5 Hg 0.3333 0.6667 0.7500
6 Hg 0.6667 0.3333 0.2500
7 Cl 0.0066 0.3555 0.1302
8 Cl 0.0066 0.6511 0.3698
9 Cl 0.3489 0.3555 0.3698
10 Cl 0.3489 0.9934 0.1302
11 Cl 0.3555 0.0066 0.6302
12 Cl 0.3555 0.3489 0.8698
13 Cl 0.6445 0.6511 0.1302
14 Cl 0.6445 0.9934 0.3698
15 Cl 0.6511 0.0066 0.8698
16 Cl 0.6511 0.6445 0.6302
17 Cl 0.9934 0.3489 0.6302
18 Cl 0.9934 0.6445 0.8698

Values from the calculation:
**Symmetry**: No. 163



2.
The following is a DFT calculation (PBE-GGA) of a relaxed Nd9DyTm2 crystal.

Cell lengths 5.1416, 5.1416, 15.4240 Å; angles 90.00, 90.00, 90.00 degrees
Atoms (fractional coordinates):
1 Nd 0.0000 0.0000 0.0000
2 Nd 0.0000 0.0000 0.3340
3 Nd 0.0000 0.0000 0.6660
4 Nd 0.0000 0.5000 0.1675
5 Nd 0.0000 0.5000 0.5000
6 Nd 0.0000 0.5000 0.8325
7 Nd 0.5000 0.0000 0.1675
8 Nd 0.5000 0.0000 0.5000
9 Nd 0.5000 0.0000 0.8325
10 Dy 0.5000 0.5000 0.0000
11 Tm 0.5000 0.5000 0.3338
12 Tm 0.5000 0.5000 0.6662

Values from the calculation:
**DFT formation energy**: 0.015 eV/atom
**Symmetry**: No. 123



3.
The following is a DFT calculation (PBE-GGA) of a relaxed NpTaBi2 crystal.

Cell lengths 3.2293, 3.2293, 33.3905 Å; angles 90.00, 90.00, 120.00 degrees
Atoms (fractional coordinates):
1 Np 0.0000 0.0000 0.0000
2 Np 0.3333 0.6667 0.6667
3 Np 0.6667 0.3333 0.3333
4 Ta 0.0000 0.0000 0.5000
5 Ta 0.3333 0.6667 0.1667
6 Ta 0.6667 0.3333 0.8333
7 Bi 0.0000 0.0000 0.4143
8 Bi 0.0000 0.0000 0.5857
9 Bi 0.3333 0.6667 0.0810
10 Bi 0.3333 0.6667 0.2524
11 Bi 0.6667 0.3333 0.7476
12 Bi 0.6667 0.3333 0.9190

Values from the calculation:
**DFT formation energy**: 0.691 eV/atom
**Symmetry**: No. 166



4.
The following is a DFT calculation (PBE-GGA) of a relaxed ZrPb3Cl crystal.

Cell lengths 5.3990, 5.3990, 5.3990 Å; angles 90.00, 90.00, 90.00 degrees
Atoms (fractional coordinates):
1 Zr 0.0000 0.0000 0.0000
2 Pb 0.0000 0.5000 0.5000
3 Pb 0.5000 0.0000 0.5000
4 Pb 0.5000 0.5000 0.0000
5 Cl 0.5000 0.5000 0.5000

Values from the calculation:
**Energy above the most stable polymorph in this dataset**: 311.5 meV per atom
**Symmetry**: No. 221



5.
The following is a DFT calculation (PBE-GGA) of a relaxed Al3HOs crystal.

Cell lengths 4.7565, 4.7565, 4.7565 Å; angles 90.00, 90.00, 90.00 degrees
Atoms (fractional coordinates):
1 Al 0.0000 0.0000 0.5000
2 Al 0.0000 0.5000 0.0000
3 Al 0.5000 0.0000 0.0000
4 H 0.5000 0.5000 0.5000
5 Os 0.0000 0.0000 0.0000

Values from the calculation:
**Energy above the most stable polymorph in this dataset**: 481.3 meV per atom
**Symmetry**: No. 221



6.
The following is a DFT calculation (PBE-GGA) of a relaxed FeCuP2 crystal.

Cell lengths 5.4845, 6.1150, 2.9641 Å; angles 90.00, 90.00, 90.00 degrees
Atoms (fractional coordinates):
1 Fe 0.0000 0.0000 0.0000
2 Fe 0.5000 0.5000 0.0000
3 Cu 0.0000 0.5000 0.0000
4 Cu 0.5000 0.0000 0.0000
5 P 0.2500 0.2500 0.5000
6 P 0.2500 0.7500 0.5000
7 P 0.7500 0.2500 0.5000
8 P 0.7500 0.7500 0.5000

Values from the calculation:
**DFT formation energy**: 0.214 eV/atom
**Symmetry**: No. 65



7.
The following is a DFT calculation (PBE-GGA) of a relaxed Tb2Be12Ni5 crystal.

Cell lengths 5.9828, 5.9828, 5.9828 Å; angles 83.69, 83.69, 83.69 degrees
Atoms (fractional coordinates):
1 Tb 0.1579 0.1579 0.1579
2 Tb 0.8421 0.8421 0.8421
3 Be 0.1665 0.1665 0.6479
4 Be 0.1665 0.6479 0.1665
5 Be 0.2264 0.5000 0.7736
6 Be 0.2264 0.7736 0.5000
7 Be 0.3521 0.8335 0.8335
8 Be 0.5000 0.2264 0.7736
9 Be 0.5000 0.7736 0.2264
10 Be 0.6479 0.1665 0.1665
11 Be 0.7736 0.2264 0.5000
12 Be 0.7736 0.5000 0.2264
13 Be 0.8335 0.3521 0.8335
14 Be 0.8335 0.8335 0.3521
15 Ni 0.0000 0.5000 0.5000
16 Ni 0.3985 0.3985 0.3985
17 Ni 0.5000 0.0000 0.5000
18 Ni 0.5000 0.5000 0.0000
19 Ni 0.6015 0.6015 0.6015

Values from the calculation:
**DFT formation energy**: -0.262 eV/atom
**Symmetry**: No. 166



Number 1: uncorrected energy -67.02 eV per cell, V 516 Å³ per cell. Number 2: uncorrected energy -56.27 eV per cell, V 408 Å³ per cell. Number 3: uncorrected energy -89.37 eV per cell, V 302 Å³ per cell. Number 4: uncorrected energy -18.96 eV per cell, V 157 Å³ per cell. Number 5: uncorrected energy -23.62 eV per cell, V 108 Å³ per cell. Number 6: uncorrected energy -45.04 eV per cell, V 99 Å³ per cell. Number 7: uncorrected energy -87.86 eV per cell, V 211 Å³ per cell.